Computed, not measured: crystalline NbFeHg2O6 at its relaxed geometry at the PBE+U level of DFT.

E_tot ... -5.91 eV per atom

abc: 5.5360 5.5360 14.1031
angles: 90.00 90.00 120.00
Last column: nearest neighbours and their distance in Å.
Space group R-3 (No. 148, hexagonal axes)
Symmetry-distinct sites (fractional):
Nb1 0.0000 0.0000 0.0000  6 O 2.03
Fe1 0.0000 0.0000 0.5000  6 O 2.06
Hg1 0.0000 0.0000 0.2464  3 O 2.26
O1 0.0028 0.4102 0.7497  1 Nb 2.03, 1 Fe 2.06, 1 Hg 2.26